! Tm2HfScS4, optimized geometry, DFT PBE-GGA; values from VASP
&SYSTEM
  ibrav = 0, nat = 8, ntyp = 4
/
ATOMIC_SPECIES
S 32.06 S.upf
Hf 178.49 Hf.upf
Tm 168.93 Tm.upf
Sc 44.96 Sc.upf
ATOMIC_POSITIONS angstrom
S 0.0000 -0.0858 4.6490
S 0.0000 4.3074 1.5216
S 1.8798 1.0605 1.4720
S 1.8798 3.1610 4.6986
Hf 1.8798 3.2524 0.0503
Tm 0.0000 2.1108 3.0853
Tm 1.8798 -1.1416 3.0350
Sc 0.0000 0.0000 0.0000
CELL_PARAMETERS angstrom
3.7597 0.0000 0.0000
0.0000 6.5047 0.1006
0.0000 -2.2831 6.0700
! Formation energy (no corrections) ... -1715.0 meV per atom